[1]
Ta3BeRu | GGA-PBE | relaxed

Cell and atoms, written as POSCAR:
```
Ta3BeRu
1.0
4.357 0.000 0.000
0.000 4.357 0.000
0.000 0.000 4.357
Ta Be Ru
3 1 1
direct
0.000 0.000 0.500
0.000 0.500 0.000
0.500 0.000 0.000
0.000 0.000 0.000
0.500 0.500 0.500
```

Values from the calculation:
The formation energy is 59.4 kJ per mole of atoms. The density of states at the Fermi level comes out at 2.248 states/eV per atom. The energy relative to the lowest polymorph listed for this composition comes out at 0 meV/atom.

=====

[2]
Al2AgCl | GGA-PBE | relaxed

Cell and atoms, written as POSCAR:
```
Al2AgCl
1.0
5.441 -1.483 0.000
5.441 1.483 0.000
-4.044 0.000 6.298
Al Ag Cl
2 1 1
direct
0.133 0.133 0.356
0.867 0.867 0.644
0.500 0.500 0.000
0.500 0.500 0.500
```

Values from the calculation:
The density of states at the Fermi level comes out at 0.172 states/eV per atom. The energy relative to the lowest polymorph listed for this composition comes out at 115 meV/atom.

=====

[3]
RbMgSn | GGA-PBE | relaxed

Cell and atoms, written as POSCAR:
```
RbMgSn
1.0
2.511 -7.055 0.000
2.511 7.055 0.000
0.000 0.000 6.117
Rb Mg Sn
2 2 2
direct
0.218 0.782 0.750
0.782 0.218 0.250
0.500 0.500 0.000
0.500 0.500 0.500
0.055 0.945 0.250
0.945 0.055 0.750
```

Values from the calculation:
The formation energy is -9.9 kJ per mole of atoms. The density of states at the Fermi level comes out at 0.361 states/eV per atom. The energy relative to the lowest polymorph listed for this composition comes out at 85 meV/atom.

=====

[4]
CaZr2Ni | GGA-PBE | relaxed

Cell and atoms, written as POSCAR:
```
CaZr2Ni
1.0
2.808 -5.002 0.000
2.808 5.002 0.000
0.000 0.000 3.090
Ca Zr Ni
1 2 1
direct
0.000 0.000 0.000
0.000 0.500 0.500
0.500 0.000 0.500
0.500 0.500 0.000
```

Values from the calculation:
The formation energy is 42.6 kJ per mole of atoms. The density of states at the Fermi level comes out at 1.223 states/eV per atom. The energy relative to the lowest polymorph listed for this composition comes out at 521 meV/atom.

=====

[5]
Ir2AuBr | GGA-PBE | relaxed

Cell and atoms, written as POSCAR:
```
Ir2AuBr
1.0
2.978 0.000 0.000
0.000 2.978 0.000
0.000 0.000 7.504
Ir Au Br
2 1 1
direct
0.000 0.000 0.245
0.000 0.000 0.755
0.500 0.500 0.500
0.500 0.500 0.000
```

Values from the calculation:
The density of states at the Fermi level comes out at 1.047 states/eV per atom. The energy relative to the lowest polymorph listed for this composition comes out at 524 meV/atom.

=====

[6]
RbSrOsO6 | GGA-PBE | relaxed

Cell and atoms, written as POSCAR:
```
RbSrOsO6
1.0
5.788 0.000 0.000
0.248 5.892 0.000
2.848 0.077 5.301
Rb Sr Os O
1 1 1 6
direct
0.000 0.000 0.000
0.685 0.521 0.661
0.357 0.455 0.294
0.088 0.630 0.287
0.098 0.316 0.584
0.302 0.666 0.592
0.399 0.268 0.046
0.592 0.665 0.093
0.602 0.306 0.362
```

=====

[7]
Sc3InO | GGA-PBE | relaxed

Cell and atoms, written as POSCAR:
```
Sc3InO
1.0
3.498 0.000 0.000
-1.749 3.030 0.000
0.000 0.000 19.644
Sc In O
6 2 2
direct
0.000 0.000 0.250
0.000 0.000 0.750
0.333 0.667 0.121
0.333 0.667 0.379
0.667 0.333 0.621
0.667 0.333 0.879
0.000 0.000 0.000
0.000 0.000 0.500
0.333 0.667 0.250
0.667 0.333 0.750
```

Values from the calculation:
The density of states at the Fermi level comes out at 0.810 states/eV per atom.

=====

[8]
YAl2RuPb | GGA-PBE | relaxed

Cell and atoms, written as POSCAR:
```
YAl2RuPb
1.0
5.056 0.000 0.000
0.000 5.056 0.000
0.000 0.000 5.076
Y Al Ru Pb
1 2 1 1
direct
0.000 0.000 0.000
0.000 0.500 0.500
0.500 0.000 0.500
0.500 0.500 0.000
0.500 0.500 0.500
```

Values from the calculation:
The formation energy is 92.3 kJ per mole of atoms. The density of states at the Fermi level comes out at 0.802 states/eV per atom.

=====

Number 1: total magnetization 0.00 μB/f.u., electronic total energy -45.48 eV/f.u.. Number 2: total magnetization 0.00 μB/f.u., electronic total energy -12.65 eV/f.u.. Number 3: total magnetization 0.00 μB/f.u., electronic total energy -6.87 eV/f.u.. Number 4: total magnetization 0.00 μB/f.u., electronic total energy -23.11 eV/f.u.. Number 5: total magnetization 0.00 μB/f.u., electronic total energy -18.76 eV/f.u.. Number 6: total magnetization 1.05 μB/f.u., electronic total energy -56.21 eV/f.u.. Number 7: total magnetization 0.00 μB/f.u., electronic total energy -32.77 eV/f.u.. Number 8: total magnetization 0.00 μB/f.u., electronic total energy -22.15 eV/f.u..